The following is a PBE-GGA calculation of crystalline Sm4Dy3Y3 at its relaxed geometry, from Alexandria via LeMat-Bulk.

The structure in extended XYZ format:
```
10
Lattice="3.8064 0.0000 0.0000 0.0000 9.3093 -0.0361 0.0000 0.0458 9.3093" Properties=species:S:1:pos:R:3 pbc="T T T"
Sm 0.0000 5.8744 3.4292
Sm 0.0000 3.4661 5.8587
Sm 0.0000 8.1537 8.0639
Sm 0.0000 1.2198 1.1908
Dy 0.0000 4.6590 -0.0153
Dy 0.0000 9.3294 4.6142
Dy 1.9032 1.6126 7.7286
Y 1.9032 7.7405 1.5466
Y 1.9032 3.0901 3.0663
Y 1.9032 6.2617 6.2102
```

Output
The formation energy is 0.10 eV per atom. The calculated total energy is -51.11 eV/cell.

The following is a PBE-GGA calculation of crystalline CdHgAu2 at its relaxed geometry, from Alexandria via LeMat-Bulk.

The structure in extended XYZ format:
```
4
Lattice="-1.7528 1.0601 -2.9437 2.6286 -1.7687 -2.2021 -3.1899 -4.9058 0.1326" Properties=species:S:1:pos:R:3 pbc="T T T"
Au -3.1879 -4.9028 0.1326
Au -0.3759 -1.6059 -2.5391
Hg -1.9879 -4.0850 -2.4720
Cd -1.5472 -2.3795 0.0643
```

Output
The formation energy is -0.02 eV per atom. The calculated total energy is -7.84 eV/cell.

The following is a PBE-GGA calculation of crystalline In5Bi2I12 at its relaxed geometry, from Alexandria via LeMat-Bulk.

The structure in extended XYZ format:
```
19
Lattice="8.9895 0.0000 0.0000 -4.4947 9.6477 -0.2294 0.0000 -3.6341 10.1562" Properties=species:S:1:pos:R:3 pbc="T T T"
In 0.0000 2.8663 6.2626
In 0.0000 5.4932 1.6156
In 0.0000 -1.8171 5.0781
In 4.4947 0.5203 8.3112
In 4.4947 3.1472 3.6641
Bi 6.6853 0.0000 0.0000
Bi 2.3041 0.0000 0.0000
I 0.0000 -0.5941 2.0660
I -2.1498 3.0615 9.0626
I 2.1498 3.0615 9.0626
I -2.3268 5.7110 4.1635
I 2.3268 5.7110 4.1635
I 0.0000 6.5809 7.7579
I 4.4947 -0.5673 2.1689
I 6.8215 0.3025 5.7633
I 2.1680 0.3025 5.7633
I 6.6445 2.9520 0.8642
I 2.3449 2.9520 0.8642
I 4.4947 6.6076 7.8607
```

Output
The calculated total energy is -47.86 eV/cell. The value obtained for the energy relative to the elements, uncorrected is -9.47 kcal/mol of atoms.